# 1
This record from the Alexandria database describes a relaxed NaTiBi crystal. The functional is PBE.

E_tot = -4.57 eV per atom
DOS(E_F) = 3.89 states/eV/cell
crystal system = tetragonal
calculated volume = 325.91 Å³/cell
ΔH_f (0 K) = -0.21 eV/atom

```
data_NaTiBi
_chemical_formula_sum 'Na4 Ti4 Bi4'
_cell_length_a 3.6370
_cell_length_b 3.6370
_cell_length_c 24.6380
_cell_angle_alpha 90.00
_cell_angle_beta 90.00
_cell_angle_gamma 90.00
_symmetry_space_group_name_H-M 'I 4/m m m'
_symmetry_Int_Tables_number 139
_symmetry_space_group_name_Hall '-I 4 2'
loop_
_atom_site_label
_atom_site_fract_x
_atom_site_fract_y
_atom_site_fract_z
_atom_site_occupancy
Na1 0.0000 0.0000 0.0697 1
Ti1 0.0000 0.0000 0.2210 1
Bi1 0.0000 0.0000 0.3400 1
```


# 2
This record from the Alexandria database describes a relaxed Tl2RhBr crystal. The functional is PBE.

E_tot = -3.08 eV per atom
DOS(E_F) = 17.71 states/eV/cell
crystal system = cubic
calculated volume = 408.94 Å³/cell
raw formation energy = 0.362 eV per atom

```
data_Tl2RhBr
_chemical_formula_sum 'Tl8 Rh4 Br4'
_cell_length_a 7.4226
_cell_length_b 7.4226
_cell_length_c 7.4226
_cell_angle_alpha 90.00
_cell_angle_beta 90.00
_cell_angle_gamma 90.00
_symmetry_space_group_name_H-M 'F m -3 m'
_symmetry_Int_Tables_number 225
_symmetry_space_group_name_Hall '-F 4 2 3'
loop_
_atom_site_label
_atom_site_fract_x
_atom_site_fract_y
_atom_site_fract_z
_atom_site_occupancy
Tl1 0.2500 0.2500 0.2500 1
Rh1 0.0000 0.0000 0.0000 1
Br1 0.0000 0.0000 0.5000 1
```


# 3
This record from the Alexandria database describes a relaxed Cu3TcTe crystal. The functional is PBE.

E_tot = -3.89 eV per atom
DOS(E_F) = 5.15 states/eV/cell
crystal system = cubic
calculated volume = 101.47 Å³/cell
raw formation energy = 1.270 eV per atom

```
data_Cu3TcTe
_chemical_formula_sum 'Cu3 Tc1 Te1'
_cell_length_a 4.6643
_cell_length_b 4.6643
_cell_length_c 4.6643
_cell_angle_alpha 90.00
_cell_angle_beta 90.00
_cell_angle_gamma 90.00
_symmetry_space_group_name_H-M 'P m -3 m'
_symmetry_Int_Tables_number 221
_symmetry_space_group_name_Hall '-P 4 2 3'
loop_
_atom_site_label
_atom_site_fract_x
_atom_site_fract_y
_atom_site_fract_z
_atom_site_occupancy
Cu1 0.0000 0.0000 0.5000 1
Tc1 0.0000 0.0000 0.0000 1
Te1 0.5000 0.5000 0.5000 1
```


# 4
This record from the Alexandria database describes a relaxed Hf5Pt2 crystal. The functional is PBE.

E_tot = -9.40 eV per atom
DOS(E_F) = 28.95 states/eV/cell
crystal system = monoclinic
calculated volume = 593.50 Å³/cell
ΔH_f (0 K) = -0.56 eV/atom

```
data_Hf5Pt2
_chemical_formula_sum 'Hf20 Pt8'
_cell_length_a 15.7379
_cell_length_b 6.0482
_cell_length_c 6.2598
_cell_angle_alpha 90.00
_cell_angle_beta 95.09
_cell_angle_gamma 90.00
_symmetry_space_group_name_H-M 'C 1 2/c 1'
_symmetry_Int_Tables_number 15
_symmetry_space_group_name_Hall '-C 2yc'
loop_
_atom_site_label
_atom_site_fract_x
_atom_site_fract_y
_atom_site_fract_z
_atom_site_occupancy
Hf1 0.0000 0.1163 0.2500 1
Hf2 0.0912 0.4245 0.9250 1
Hf3 0.2252 0.1418 0.2641 1
Pt1 0.1145 0.1550 0.5902 1
```


# 5
This record from the Alexandria database describes a relaxed RbHO crystal. The functional is PBE.

E_tot = -3.75 eV per atom
DOS(E_F) = 0.00 states/eV/cell
crystal system = monoclinic
calculated volume = 248.00 Å³/cell

```
data_RbHO
_chemical_formula_sum 'Rb4 H4 O4'
_cell_length_a 8.7818
_cell_length_b 4.1528
_cell_length_c 6.8159
_cell_angle_alpha 90.00
_cell_angle_beta 93.86
_cell_angle_gamma 90.00
_symmetry_space_group_name_H-M 'C 1 2/m 1'
_symmetry_Int_Tables_number 12
_symmetry_space_group_name_Hall '-C 2y'
loop_
_atom_site_label
_atom_site_fract_x
_atom_site_fract_y
_atom_site_fract_z
_atom_site_occupancy
Rb1 0.1477 0.0000 0.1836 1
H1 0.0085 0.5000 0.5561 1
O1 0.0597 0.5000 0.9246 1
```


# 6
This record from the Alexandria database describes a relaxed Nd8GaIr3I4 crystal. The functional is PBE.

E_tot = -5.51 eV per atom
DOS(E_F) = 38.25 states/eV/cell
crystal system = trigonal
calculated volume = 1528.22 Å³/cell
raw formation energy = -0.890 eV per atom

```
data_Nd8GaIr3I4
_chemical_formula_sum 'Nd24 Ga3 Ir9 I12'
_cell_length_a 8.5418
_cell_length_b 8.5418
_cell_length_c 24.1866
_cell_angle_alpha 90.00
_cell_angle_beta 90.00
_cell_angle_gamma 120.00
_symmetry_space_group_name_H-M 'R -3 m'
_symmetry_Int_Tables_number 166
_symmetry_space_group_name_Hall '-R 3 2"'
loop_
_atom_site_label
_atom_site_fract_x
_atom_site_fract_y
_atom_site_fract_z
_atom_site_occupancy
Nd1 0.0000 0.0000 0.2294 1
Nd2 0.0144 0.5072 0.7712 1
Ga1 0.0000 0.0000 0.5000 1
Ir1 0.0000 0.5000 0.5000 1
I1 0.0000 0.0000 0.0000 1
I2 0.0000 0.5000 0.0000 1
```


# 7
This record from the Alexandria database describes a relaxed Zn7PtAu3 crystal. The functional is PBE.

E_tot = -2.48 eV per atom
DOS(E_F) = 7.98 states/eV/cell
crystal system = orthorhombic
calculated volume = 730.27 Å³/cell
ΔH_f (0 K) = -0.23 eV/atom

```
data_Zn7PtAu3
_chemical_formula_sum 'Zn28 Pt4 Au12'
_cell_length_a 2.8913
_cell_length_b 21.6501
_cell_length_c 11.6661
_cell_angle_alpha 90.00
_cell_angle_beta 90.00
_cell_angle_gamma 90.00
_symmetry_space_group_name_H-M 'C m c m'
_symmetry_Int_Tables_number 63
_symmetry_space_group_name_Hall '-C 2c 2'
loop_
_atom_site_label
_atom_site_fract_x
_atom_site_fract_y
_atom_site_fract_z
_atom_site_occupancy
Zn1 0.0000 0.0463 0.1228 1
Zn2 0.0000 0.0894 0.6010 1
Zn3 0.0000 0.1924 0.2500 1
Zn4 0.0000 0.2255 0.5854 1
Pt1 0.0000 0.4734 0.2500 1
Au1 0.0000 0.3306 0.2500 1
Au2 0.0000 0.3527 0.5692 1
```


# 8
This record from the Alexandria database describes a relaxed PmSm6Mg crystal. The functional is PBE.

E_tot = -4.32 eV per atom
DOS(E_F) = 11.47 states/eV/cell
crystal system = tetragonal
calculated volume = 260.34 Å³/cell
ΔH_f (0 K) = 0.01 eV/atom

```
data_PmSm6Mg
_chemical_formula_sum 'Pm1 Sm6 Mg1'
_cell_length_a 5.0582
_cell_length_b 5.0582
_cell_length_c 10.1753
_cell_angle_alpha 90.00
_cell_angle_beta 90.00
_cell_angle_gamma 90.00
_symmetry_space_group_name_H-M 'P 4/m m m'
_symmetry_Int_Tables_number 123
_symmetry_space_group_name_Hall '-P 4 2'
loop_
_atom_site_label
_atom_site_fract_x
_atom_site_fract_y
_atom_site_fract_z
_atom_site_occupancy
Pm1 0.0000 0.0000 0.0000 1
Sm1 0.0000 0.5000 0.2538 1
Sm2 0.5000 0.5000 0.0000 1
Sm3 0.5000 0.5000 0.5000 1
Mg1 0.0000 0.0000 0.5000 1
```


# 9
This record from the Alexandria database describes a relaxed NaPrBr4 crystal. The functional is PBE.

E_tot = -3.86 eV per atom
DOS(E_F) = 0.00 states/eV/cell
crystal system = monoclinic
calculated volume = 417.72 Å³/cell
raw formation energy = -1.724 eV per atom

```
data_NaPrBr4
_chemical_formula_sum 'Na2 Pr2 Br8'
_cell_length_a 7.6897
_cell_length_b 7.2686
_cell_length_c 7.5911
_cell_angle_alpha 90.00
_cell_angle_beta 100.10
_cell_angle_gamma 90.00
_symmetry_space_group_name_H-M 'P 1 21/c 1'
_symmetry_Int_Tables_number 14
_symmetry_space_group_name_Hall '-P 2ybc'
loop_
_atom_site_label
_atom_site_fract_x
_atom_site_fract_y
_atom_site_fract_z
_atom_site_occupancy
Na1 0.0000 0.0000 0.0000 1
Pr1 0.5000 0.0000 0.5000 1
Br1 0.1600 0.1575 0.3567 1
Br2 0.3618 0.6613 0.3065 1
```


# 10
This record from the Alexandria database describes a relaxed BTeHRhAu crystal. The functional is PBE.

E_tot = -4.64 eV per atom
DOS(E_F) = 2.64 states/eV/cell
crystal system = triclinic
calculated volume = 85.62 Å³/cell

```
data_BTeHRhAu
_chemical_formula_sum 'B1 Te1 H1 Rh1 Au1'
_cell_length_a 3.0639
_cell_length_b 4.6458
_cell_length_c 6.5075
_cell_angle_alpha 78.48
_cell_angle_beta 89.68
_cell_angle_gamma 70.96
_symmetry_space_group_name_H-M 'P 1'
_symmetry_Int_Tables_number 1
_symmetry_space_group_name_Hall 'P 1'
loop_
_atom_site_label
_atom_site_fract_x
_atom_site_fract_y
_atom_site_fract_z
_atom_site_occupancy
B1 0.0000 0.0000 0.0000 1
Te1 0.2357 0.5169 0.4005 1
H1 0.1044 0.7916 0.8968 1
Rh1 0.4949 0.0044 0.2272 1
Au1 0.3316 0.3430 0.8265 1
```


# 11
This record from the Alexandria database describes a relaxed Tl4TeIBr crystal. The functional is PBE.

E_tot = -2.77 eV per atom
crystal system = monoclinic
calculated volume = 594.07 Å³/cell
raw formation energy = -0.512 eV per atom

```
data_Tl4TeIBr
_chemical_formula_sum 'Tl8 Te2 I2 Br2'
_cell_length_a 9.0745
_cell_length_b 7.3827
_cell_length_c 9.1072
_cell_angle_alpha 90.00
_cell_angle_beta 103.18
_cell_angle_gamma 90.00
_symmetry_space_group_name_H-M 'P 1 21/m 1'
_symmetry_Int_Tables_number 11
_symmetry_space_group_name_Hall '-P 2yb'
loop_
_atom_site_label
_atom_site_fract_x
_atom_site_fract_y
_atom_site_fract_z
_atom_site_occupancy
Tl1 0.0144 0.2500 0.3612 1
Tl2 0.2659 0.2500 0.8827 1
Tl3 0.3665 0.0080 0.2627 1
Te1 0.3716 0.2500 0.5734 1
I1 0.3518 0.7500 0.8970 1
Br1 0.0810 0.7500 0.3346 1
```


# 12
This record from the Alexandria database describes a relaxed ZnGe3Pt crystal. The functional is PBE.

E_tot = -3.84 eV per atom
DOS(E_F) = 2.04 states/eV/cell
crystal system = cubic
calculated volume = 118.30 Å³/cell
ΔH_f (0 K) = 0.39 eV/atom

```
data_ZnGe3Pt
_chemical_formula_sum 'Zn1 Ge3 Pt1'
_cell_length_a 4.9090
_cell_length_b 4.9090
_cell_length_c 4.9090
_cell_angle_alpha 90.00
_cell_angle_beta 90.00
_cell_angle_gamma 90.00
_symmetry_space_group_name_H-M 'P m -3 m'
_symmetry_Int_Tables_number 221
_symmetry_space_group_name_Hall '-P 4 2 3'
loop_
_atom_site_label
_atom_site_fract_x
_atom_site_fract_y
_atom_site_fract_z
_atom_site_occupancy
Zn1 0.0000 0.0000 0.0000 1
Ge1 0.0000 0.5000 0.5000 1
Pt1 0.5000 0.5000 0.5000 1
```


Question: Which value of calculated volume does entry 7 give?
Answer: 730.27 Å³/cell


Question: Which formula does entry 4 have?
Answer: Hf5Pt2